A relaxed structure of FeCIO2. Source: Alexandria, functional GGA+U.

a = 3.8920 Å, b = 3.8920 Å, c = 4.3974 Å
α = 90.00°, β = 90.00°, γ = 90.00°
With the nearest neighbours (Å) after each atom.
Space group P4/mmm (No. 123)
One atom of each set of equivalent atoms:
Fe 0.0000 0.0000 0.0000 [1 per cell]  4 I 2.75, 8 O 2.94
C 0.5000 0.5000 0.5000 [1 per cell]  4 O 1.95
I 0.5000 0.5000 0.0000 [1 per cell]  2 C 2.20
O 0.0000 0.5000 0.5000 [2 per cell]  2 C 1.95

Summary:
For the polymorph energy (0 for the lowest one), the calculation gives 0.5017 eV/atom.